No. 1
CrOsAu2Se after structural relaxation. Source: Alexandria via LeMat-Bulk, functional PBE.

Computed properties:
- Uncorrected energy: -23.83 eV per formula unit

Lattice parameters (Å, degrees): 4.902 4.418 4.902 90.00 90.00 90.00
Fractional coordinates of all 5 atoms:
Cr (0.000, 0.000, 0.000)
Os (0.000, 0.500, 0.000)
Au (0.000, 0.000, 0.500)
Au (0.500, 0.000, 0.000)
Se (0.500, 0.500, 0.500)


No. 2
Cr2PAu after structural relaxation. Source: Alexandria via LeMat-Bulk, functional PBE.

Computed properties:
- Uncorrected energy: -27.04 eV per formula unit

Lattice parameters (Å, degrees): 8.263 8.263 8.263 19.32 19.32 19.32
Fractional coordinates of all 4 atoms:
P (0.250, 0.250, 0.250)
Au (0.750, 0.750, 0.750)
Cr (0.989, 0.989, 0.989)
Cr (0.511, 0.511, 0.511)


No. 3
Cr2PAu after structural relaxation. Source: Alexandria via LeMat-Bulk, functional PBE.

Computed properties:
- Uncorrected energy: -27.14 eV per formula unit

Lattice parameters (Å, degrees): 4.667 4.667 4.667 138.88 122.07 73.48
Fractional coordinates of all 4 atoms:
Cr (0.956, 0.956, 0.000)
Cr (0.544, 0.544, 0.000)
P (0.750, 0.250, 0.500)
Au (0.250, 0.750, 0.500)


| no. | DOS at the Fermi energy (states/eV per atom) |
| --- | --- |
| 1 | 1.17 |
| 2 | 1.44 |
| 3 | 1.03 |